The following is a DFT calculation (PBE) of an optimized crystal structure of Al2IrRu.

a = 2.8002 Å, b = 3.7980 Å, c = 5.3498 Å
α = 90.00°, β = 90.00°, γ = 90.00°
Positions (direct):
Ir 0.0000 0.0000 0.4719
Al 0.5000 0.5000 0.2693
Al 0.0000 0.0000 0.9798
Ru 0.5000 0.5000 0.7790

Output
For the magnetization, the calculation gives 0.00 μB/f.u. For the energy relative to the elements, the calculation gives -0.52 eV per atom.